1.
NaCd3Hg3, optimized geometry, DFT GGA-PBE; D(E_F) = 0.319 states/eV per atom; E above lowest polymorph = 0.23 eV/f.u.; calculated volume = 354 Å³/cell
1.0
7.663 0.000 0.000
3.832 6.637 0.000
3.832 2.212 6.958
Na Cd Hg
2 6 6
Direct
0.340 0.340 0.980
0.660 0.660 0.020
0.577 0.729 0.624
0.729 0.070 0.624
0.070 0.577 0.624
0.930 0.423 0.376
0.271 0.930 0.376
0.423 0.271 0.376
0.191 0.717 0.187
0.905 0.191 0.187
0.717 0.905 0.187
0.283 0.095 0.813
0.095 0.809 0.813
0.809 0.283 0.813

2.
NaCdHg5, optimized geometry, DFT GGA-PBE; D(E_F) = 0.267 states/eV per atom; calculated volume = 374 Å³/cell; calculated total energy = -8.547 eV per cell
1.0
5.502 0.422 0.001
1.004 5.426 0.001
-0.006 -0.006 12.715
Na Cd Hg
2 2 10
Direct
0.000 0.000 0.000
0.000 0.000 0.500
0.343 0.657 0.750
0.657 0.343 0.250
0.426 0.185 0.891
0.574 0.815 0.392
0.185 0.426 0.391
0.912 0.088 0.750
0.185 0.426 0.108
0.815 0.574 0.892
0.088 0.912 0.250
0.815 0.574 0.609
0.426 0.185 0.608
0.574 0.815 0.109

3.
NaCdHg2, optimized geometry, DFT GGA-PBE; D(E_F) = 0.323 states/eV per atom; calculated volume = 102 Å³/cell; calculated total energy = -3.208 eV per cell
1.0
-0.549 3.262 -0.855
-3.145 1.317 0.217
0.594 4.321 9.276
Na Cd Hg
1 1 2
Direct
0.667 0.667 0.000
0.500 0.500 0.500
0.082 0.082 0.754
0.251 0.251 0.246